Below is a relaxed Sn3Hg2 crystal, with properties calculated at the PBE-GGA level.

Unit cell a=6.855 b=6.855 c=6.855 alpha=71.33 beta=71.33 gamma=71.33
Fractional positions:
1 Sn 0.012 0.750 0.488
2 Sn 0.250 0.512 0.988
3 Sn 0.488 0.012 0.750
4 Sn 0.512 0.988 0.250
5 Sn 0.750 0.488 0.012
6 Sn 0.988 0.250 0.512
7 Hg 0.098 0.098 0.098
8 Hg 0.402 0.402 0.402
9 Hg 0.598 0.598 0.598
10 Hg 0.902 0.902 0.902

Calculated values
* space-group type: R-3c (167)
* size of the total moment: 0.000 Bohr magnetons per cell
* polymorph energy (0 for the lowest one): 0.0907 eV/atom
* E_tot: -2.38 eV/atom
* N(E_F): 0.455 states/eV/atom
* calculated formation energy: 0.140 eV/atom
* ρ: 9.0 g/cm³

=====

Below is a relaxed Sr2SnHg2 crystal, with properties calculated at the PBE-GGA level.

Unit cell a=6.502 b=6.502 c=12.139 alpha=114.16 beta=114.16 gamma=43.69
Fractional positions:
1 Sr 0.016 0.016 0.342
2 Sr 0.189 0.189 0.108
3 Sr 0.811 0.811 0.892
4 Sr 0.984 0.984 0.658
5 Sn 0.283 0.283 0.670
6 Sn 0.717 0.717 0.330
7 Hg 0.360 0.360 0.443
8 Hg 0.467 0.467 0.111
9 Hg 0.533 0.533 0.889
10 Hg 0.640 0.640 0.557

Calculated values
* space-group type: C2/m (12)
* size of the total moment: 0.000 Bohr magnetons per cell
* polymorph energy (0 for the lowest one): 0.0000 eV/atom
* E_tot: -2.13 eV/atom
* N(E_F): 0.496 states/eV/atom
* calculated formation energy: -0.538 eV/atom
* ρ: 7.3 g/cm³

=====

Below is a relaxed SrSn2Hg2 crystal, with properties calculated at the PBE-GGA level.

Unit cell a=6.931 b=6.931 c=10.183 alpha=115.97 beta=115.97 gamma=42.34
Fractional positions:
1 Sr 0.174 0.174 0.214
2 Sr 0.826 0.826 0.786
3 Sn 0.126 0.126 0.557
4 Sn 0.438 0.438 0.090
5 Sn 0.562 0.562 0.910
6 Sn 0.874 0.874 0.443
7 Hg 0.158 0.158 0.858
8 Hg 0.389 0.389 0.592
9 Hg 0.611 0.611 0.408
10 Hg 0.842 0.842 0.142

Calculated values
* space-group type: C2/m (12)
* size of the total moment: 0.000 Bohr magnetons per cell
* E_tot: -2.41 eV/atom
* N(E_F): 0.261 states/eV/atom
* calculated formation energy: -0.349 eV/atom
* ρ: 8.3 g/cm³

=====

Below is a relaxed SrSn3Hg crystal, with properties calculated at the PBE-GGA level.

Unit cell a=6.148 b=6.148 c=6.148 alpha=90.00 beta=90.00 gamma=90.00
Fractional positions:
1 Sr 0.000 0.000 0.000
2 Sn 0.000 0.000 0.500
3 Sn 0.000 0.500 0.000
4 Sn 0.500 0.000 0.000
5 Hg 0.500 0.500 0.500

Calculated values
* space-group type: Pm-3m (221)
* size of the total moment: 0.641 Bohr magnetons per cell
* polymorph energy (0 for the lowest one): 1.0279 eV/atom
* E_tot: -2.02 eV/atom
* N(E_F): 1.154 states/eV/atom
* calculated formation energy: 0.780 eV/atom
* ρ: 4.6 g/cm³

=====

Below is a relaxed SrSn2Hg2 crystal, with properties calculated at the PBE-GGA level.

Unit cell a=5.520 b=6.334 c=9.073 alpha=77.96 beta=73.49 gamma=69.88
Fractional positions:
1 Sr 0.233 0.333 0.285
2 Sr 0.767 0.667 0.715
3 Sn 0.128 0.099 0.693
4 Sn 0.474 0.207 0.883
5 Sn 0.526 0.793 0.117
6 Sn 0.872 0.901 0.307
7 Hg 0.133 0.714 0.956
8 Hg 0.347 0.740 0.472
9 Hg 0.653 0.260 0.528
10 Hg 0.867 0.286 0.044

Calculated values
* space-group type: P-1 (2)
* size of the total moment: 0.000 Bohr magnetons per cell
* E_tot: -2.38 eV/atom
* N(E_F): 0.345 states/eV/atom
* calculated formation energy: -0.322 eV/atom
* ρ: 8.5 g/cm³

=====

Below is a relaxed SrSnHg crystal, with properties calculated at the PBE-GGA level.

Unit cell a=3.465 b=3.465 c=17.525 alpha=90.00 beta=90.00 gamma=90.00
Fractional positions:
1 Sr 0.000 0.000 0.000
2 Sr 0.500 0.500 0.500
3 Sn 0.000 0.000 0.190
4 Sn 0.500 0.500 0.690
5 Hg 0.000 0.000 0.817
6 Hg 0.500 0.500 0.317

Calculated values
* space-group type: I4mm (107)
* size of the total moment: 0.000 Bohr magnetons per cell
* E_tot: -1.80 eV/atom
* N(E_F): 0.689 states/eV/atom
* calculated formation energy: 0.200 eV/atom
* ρ: 6.4 g/cm³

=====

Below is a relaxed SrSn6Hg2 crystal, with properties calculated at the PBE-GGA level.

Unit cell a=8.960 b=8.960 c=3.437 alpha=100.84 beta=100.84 gamma=103.35
Fractional positions:
1 Sr 0.000 0.000 0.000
2 Sn 0.044 0.654 0.347
3 Sn 0.346 0.956 0.653
4 Sn 0.386 0.614 0.500
5 Sn 0.614 0.386 0.500
6 Sn 0.654 0.044 0.347
7 Sn 0.956 0.346 0.653
8 Hg 0.288 0.288 0.786
9 Hg 0.712 0.712 0.214

Calculated values
* space-group type: C2/m (12)
* size of the total moment: 0.000 Bohr magnetons per cell
* polymorph energy (0 for the lowest one): 0.0034 eV/atom
* E_tot: -3.00 eV/atom
* N(E_F): 0.360 states/eV/atom
* calculated formation energy: -0.082 eV/atom
* ρ: 7.8 g/cm³

=====

Below is a relaxed SrSnHg2 crystal, with properties calculated at the PBE-GGA level.

Unit cell a=3.876 b=3.876 c=7.553 alpha=90.00 beta=90.00 gamma=90.00
Fractional positions:
1 Sr 0.000 0.000 0.000
2 Sn 0.000 0.000 0.500
3 Hg 0.500 0.500 0.267
4 Hg 0.500 0.500 0.733

Calculated values
* space-group type: P4/mmm (123)
* size of the total moment: 0.000 Bohr magnetons per cell
* E_tot: -1.91 eV/atom
* N(E_F): 0.466 states/eV/atom
* calculated formation energy: -0.340 eV/atom
* ρ: 8.9 g/cm³

=====

Below is a relaxed SrSn2Hg6 crystal, with properties calculated at the PBE-GGA level.

Unit cell a=8.830 b=8.830 c=3.731 alpha=100.13 beta=100.13 gamma=60.61
Fractional positions:
1 Sr 0.000 0.000 0.000
2 Sn 0.359 0.359 0.876
3 Sn 0.641 0.641 0.124
4 Hg 0.006 0.350 0.675
5 Hg 0.322 0.678 0.500
6 Hg 0.350 0.006 0.675
7 Hg 0.650 0.994 0.325
8 Hg 0.678 0.322 0.500
9 Hg 0.994 0.650 0.325

Calculated values
* space-group type: C2/m (12)
* size of the total moment: 0.000 Bohr magnetons per cell
* polymorph energy (0 for the lowest one): 0.0282 eV/atom
* E_tot: -1.40 eV/atom
* N(E_F): 0.236 states/eV/atom
* calculated formation energy: -0.120 eV/atom
* ρ: 10.2 g/cm³

=====

Below is a relaxed Sr4Sn5Hg2 crystal, with properties calculated at the PBE-GGA level.

Unit cell a=8.345 b=3.667 c=10.908 alpha=90.00 beta=94.00 gamma=90.00
Fractional positions:
1 Sr 0.173 0.000 0.386
2 Sr 0.278 0.000 0.940
3 Sr 0.722 0.000 0.060
4 Sr 0.827 0.000 0.614
5 Sn 0.196 0.500 0.664
6 Sn 0.439 0.500 0.208
7 Sn 0.500 0.500 0.500
8 Sn 0.561 0.500 0.792
9 Sn 0.804 0.500 0.336
10 Hg 0.060 0.500 0.134
11 Hg 0.940 0.500 0.866

Calculated values
* space-group type: P2/m (10)
* size of the total moment: 0.000 Bohr magnetons per cell
* E_tot: -2.95 eV/atom
* N(E_F): 0.588 states/eV/atom
* calculated formation energy: -0.461 eV/atom
* ρ: 6.7 g/cm³

=====

Below is a relaxed SrSnHg crystal, with properties calculated at the PBE-GGA level.

Unit cell a=4.942 b=4.942 c=7.624 alpha=90.00 beta=90.00 gamma=90.00
Fractional positions:
1 Sr 0.250 0.250 0.195
2 Sr 0.750 0.750 0.805
3 Sn 0.250 0.250 0.739
4 Sn 0.750 0.750 0.261
5 Hg 0.250 0.750 0.500
6 Hg 0.750 0.250 0.500

Calculated values
* space-group type: P4/nmm (129)
* size of the total moment: 0.000 Bohr magnetons per cell
* E_tot: -2.50 eV/atom
* N(E_F): 0.358 states/eV/atom
* calculated formation energy: -0.501 eV/atom
* ρ: 7.3 g/cm³

=====

Below is a relaxed SrSn3Hg crystal, with properties calculated at the PBE-GGA level.

Unit cell a=8.957 b=8.068 c=7.044 alpha=90.00 beta=128.18 gamma=90.00
Fractional positions:
1 Sr 0.000 0.000 0.000
2 Sr 0.500 0.500 0.000
3 Sn 0.000 0.500 0.500
4 Sn 0.250 0.250 0.500
5 Sn 0.250 0.750 0.500
6 Sn 0.500 0.000 0.500
7 Sn 0.750 0.250 0.500
8 Sn 0.750 0.750 0.500
9 Hg 0.000 0.000 0.500
10 Hg 0.500 0.500 0.500

Calculated values
* space-group type: C2/m (12)
* size of the total moment: 0.000 Bohr magnetons per cell
* polymorph energy (0 for the lowest one): 0.2671 eV/atom
* E_tot: -2.78 eV/atom
* N(E_F): 0.960 states/eV/atom
* calculated formation energy: 0.019 eV/atom
* ρ: 5.3 g/cm³

=====

Repeat the twelfth record exactly.
Below is a relaxed SrSn3Hg crystal, with properties calculated at the PBE-GGA level.

Unit cell a=8.957 b=8.068 c=7.044 alpha=90.00 beta=128.18 gamma=90.00
Fractional positions:
1 Sr 0.000 0.000 0.000
2 Sr 0.500 0.500 0.000
3 Sn 0.000 0.500 0.500
4 Sn 0.250 0.250 0.500
5 Sn 0.250 0.750 0.500
6 Sn 0.500 0.000 0.500
7 Sn 0.750 0.250 0.500
8 Sn 0.750 0.750 0.500
9 Hg 0.000 0.000 0.500
10 Hg 0.500 0.500 0.500

Calculated values
* space-group type: C2/m (12)
* size of the total moment: 0.000 Bohr magnetons per cell
* polymorph energy (0 for the lowest one): 0.2671 eV/atom
* E_tot: -2.78 eV/atom
* N(E_F): 0.960 states/eV/atom
* calculated formation energy: 0.019 eV/atom
* ρ: 5.3 g/cm³